A relaxed structure of Li3Fe8O3F13, computed with PBE+U.

```
27
Lattice="-4.8086 2.5370 3.2309 -4.2904 -3.6359 2.8931 2.1563 -0.3777 10.2110" Properties=species:S:1:pos:R:3 pbc="T T T"
O -5.6114 -0.7583 5.2501
O -1.3728 -0.7254 11.1527
O -6.2733 -1.3167 14.4419
F -7.1775 -1.1055 9.1937
F -4.2202 -0.9229 10.3932
F -2.2046 0.9185 8.8495
F -4.0008 0.6955 12.8485
F -4.9899 0.7411 7.5832
F 0.1438 -0.3800 7.1656
F -0.7929 -0.1728 1.9418
F -3.0786 -2.2282 3.6631
F -2.5927 -0.5411 5.9115
F -3.3727 1.2754 3.8548
F -1.9407 -2.2254 8.6775
F -3.7126 -2.7387 12.6607
F -4.7281 -2.3773 7.4126
Fe -4.6246 -2.6837 14.6682
Fe -6.2005 -0.9195 7.2928
Fe -3.0448 0.7190 10.8199
Fe -0.8367 -0.5669 9.0779
Fe -2.7844 -2.3830 10.6501
Fe -4.8727 0.2726 14.8300
Fe -4.1398 0.8111 5.7267
Fe -3.8951 -2.1035 5.5672
Li 2.0991 -0.3795 10.1558
Li -6.1157 -1.1084 10.8749
Li -0.7456 -0.3625 5.4815
```

Summary:
The value obtained for the density of states at the Fermi level is 0.0 states/eV/f.u. The calculation puts the magnetic moment at 1.185 μB per atom. Its crystal system is monoclinic. As for the calculated total energy: -5.60 eV/atom. As for the mass density: 3.83 Mg/m³.